Computed, not measured: an optimized crystal structure of NpUSe at the PBE level of DFT.

```
12
Lattice="4.9544 1.3497 0.0000 -0.1056 5.1339 0.0000 0.0000 0.0000 10.3123" Properties=species:S:1:pos:R:3 pbc="T T T"
U 4.8479 6.4824 2.5776
U 2.4235 3.2407 2.5785
U 2.4252 3.2429 7.7338
U 0.0008 0.0011 7.7347
Se 1.1599 4.1875 0.0000
Se 3.6889 2.2961 0.0000
Se 3.6899 2.2954 5.1562
Se 1.1589 4.1882 5.1562
Np 1.2117 1.6202 1.1763
Np 1.2127 1.6216 6.3324
Np 3.6371 4.8633 9.1361
Np 3.6361 4.8620 3.9799
```

Values from the calculation:
- V: 65.9 Å³/f.u.
- Raw formation energy: -0.177 eV per atom
- Symmetry: Cmme
- Size of the total moment: 4.34 μB per cell

=====

Computed, not measured: an optimized crystal structure of NpU5Se8 at the PBE level of DFT.

```
14
Lattice="7.0995 0.0000 -2.4599 -3.5334 6.1307 -2.5268 -0.0327 0.0000 7.5136" Properties=species:S:1:pos:R:3 pbc="T T T"
Np -0.0164 3.0653 3.7568
U 5.7729 2.2862 -2.4670
U 3.1174 5.3647 -2.4971
U 3.0979 3.8445 1.2736
U 3.5334 0.0000 2.5268
U 2.2109 0.7660 -1.2295
Se -1.7616 4.5930 -1.9878
Se 6.5339 0.5922 2.7821
Se 4.6172 1.5335 0.2710
Se 2.9916 2.4653 4.0246
Se 1.2422 3.6653 -0.9969
Se 1.2116 5.5384 2.7569
Se 1.0828 1.5377 1.5024
Se -1.7843 4.5972 1.7549
```

Values from the calculation:
- V: 326.5 Å³/f.u.
- Raw formation energy: -1.102 eV per atom
- Symmetry: I-4
- Size of the total moment: 20.79 μB per cell

=====

Computed, not measured: an optimized crystal structure of Np2USe4 at the PBE level of DFT.

```
14
Lattice="-1.4772 -3.3669 1.5493 -1.0913 -0.3650 -6.9709 12.1318 -6.0510 -1.5825" Properties=species:S:1:pos:R:3 pbc="T T T"
Np 4.7750 -3.1811 -2.3602
Np 9.2605 -8.8324 -5.2272
Np 0.3027 -0.9505 -1.7768
Np 4.7882 -6.6017 -4.6438
U 7.9314 -6.7018 -1.8644
U 1.6319 -3.0811 -5.1397
Se -0.2002 -3.5860 -2.8464
Se 2.7693 -5.0671 -3.2338
Se 9.7634 -6.1969 -4.1576
Se 6.7940 -4.7158 -3.7703
Se 6.6648 -8.1196 -6.1531
Se 2.8985 -1.6633 -0.8509
Se -0.7386 -1.6834 0.7747
Se 5.3273 -4.7090 -0.0166
```

Values from the calculation:
- V: 184.5 Å³/f.u.
- Raw formation energy: -1.081 eV per atom
- Symmetry: Cmcm
- Size of the total moment: 23.40 μB per cell
- ΔE to the lowest computed polymorph: 68 meV per atom

=====

Number 1: DOS at the Fermi energy 25.2 states/eV per cell. Number 2: DOS at the Fermi energy 41.5 states/eV per cell. Number 3: DOS at the Fermi energy 47.5 states/eV per cell.